## Li4Ti3Cr3Ni2O16 (GGA+U)

Data for Li4Ti3Cr3Ni2O16 after structural relaxation.

Output
Electronic total energy ... -196.91 eV/cell
Symmetry ... Cm (8)
M_tot ... 10.00 Bohr magnetons per cell

abc: 5.877 5.877 9.702
angles: 90.03 90.03 60.04
Atoms (fractional coordinates):
Li 0.000 0.000 0.000
Li 0.000 0.000 0.499
Li 0.341 0.341 0.601
Li 0.673 0.673 0.103
Ti 0.181 0.181 0.274
Ti 0.349 0.843 0.778
Ti 0.843 0.349 0.778
Cr 0.179 0.673 0.286
Cr 0.673 0.179 0.286
Cr 0.840 0.840 0.788
Ni 0.337 0.337 0.007
Ni 0.670 0.670 0.506
O 0.006 0.006 0.683
O 0.009 0.009 0.184
O 0.040 0.493 0.166
O 0.157 0.684 0.889
O 0.164 0.164 0.893
O 0.323 0.839 0.391
O 0.337 0.337 0.394
O 0.485 0.485 0.170
O 0.493 0.040 0.166
O 0.523 0.523 0.667
O 0.527 0.970 0.665
O 0.669 0.669 0.894
O 0.684 0.157 0.889
O 0.839 0.323 0.391
O 0.845 0.845 0.384
O 0.970 0.527 0.665